Record 1
# RbTi2BF (meta-GGA SCAN, PBEsol geometry)
data_RbTi2BF
_space_group_name_H-M_alt 'P 4/m m m'
_space_group_IT_number 123
_space_group_name_Hall '-P 4 2'
_cell_length_a 4.891
_cell_length_b 4.891
_cell_length_c 4.305
_cell_angle_alpha 90.00
_cell_angle_beta 90.00
_cell_angle_gamma 90.00
loop_
_atom_site_label
_atom_site_type_symbol
_atom_site_fract_x
_atom_site_fract_y
_atom_site_fract_z
Rb1 Rb 0.000 0.000 0.000
Ti1 Ti 0.000 0.500 0.000
B1 B 0.500 0.500 0.500
F1 F 0.000 0.000 0.500
# Calculated total energy: -10.977 eV per atom
# M_tot: 3.26 μB/f.u.
# Density: 3.4 g/cm3
# Uncorrected formation energy: 1.777 eV/atom
# Density of states at the Fermi level: 1.063 states/eV/atom

=====

Record 2
# BS2F (meta-GGA SCAN, PBEsol geometry)
data_BS2F
_space_group_name_H-M_alt 'I -4 2 d'
_space_group_IT_number 122
_space_group_name_Hall 'I -4 2bw'
_cell_length_a 5.376
_cell_length_b 5.376
_cell_length_c 7.851
_cell_angle_alpha 90.00
_cell_angle_beta 90.00
_cell_angle_gamma 90.00
loop_
_atom_site_label
_atom_site_type_symbol
_atom_site_fract_x
_atom_site_fract_y
_atom_site_fract_z
B1 B 0.000 0.000 0.000
S1 S 0.171 0.250 0.125
F1 F 0.000 0.000 0.500
# Calculated total energy: -7.608 eV per atom
# M_tot: 0.00 μB/f.u.
# Density: 2.7 g/cm3
# Uncorrected formation energy: -0.052 eV/atom
# Density of states at the Fermi level: 0.816 states/eV/atom

=====

Record 3
# ScB2SF (meta-GGA SCAN, PBEsol geometry)
data_ScB2SF
_space_group_name_H-M_alt 'P 4/m m m'
_space_group_IT_number 123
_space_group_name_Hall '-P 4 2'
_cell_length_a 3.596
_cell_length_b 3.596
_cell_length_c 4.767
_cell_angle_alpha 90.00
_cell_angle_beta 90.00
_cell_angle_gamma 90.00
loop_
_atom_site_label
_atom_site_type_symbol
_atom_site_fract_x
_atom_site_fract_y
_atom_site_fract_z
Sc1 Sc 0.000 0.000 0.000
B1 B 0.000 0.500 0.500
S1 S 0.500 0.500 0.500
F1 F 0.500 0.500 0.000
# Calculated total energy: -8.280 eV per atom
# M_tot: 0.00 μB/f.u.
# Density: 3.2 g/cm3
# Uncorrected formation energy: 0.173 eV/atom
# Density of states at the Fermi level: 0.227 states/eV/atom

=====

Record 4
# BSbF2 (meta-GGA SCAN, PBEsol geometry)
data_BSbF2
_space_group_name_H-M_alt 'R -3 m'
_space_group_IT_number 166
_space_group_name_Hall '-R 3 2"'
_cell_length_a 3.0501
_cell_length_b 3.0501
_cell_length_c 31.0209
_cell_angle_alpha 90.00
_cell_angle_beta 90.00
_cell_angle_gamma 120.00
loop_
_atom_site_label
_atom_site_type_symbol
_atom_site_fract_x
_atom_site_fract_y
_atom_site_fract_z
B1 B 0.0000 0.0000 0.0000
Sb1 Sb 0.0000 0.0000 0.5000
F1 F 0.0000 0.0000 0.0425
# Calculated total energy: -13.764 eV per atom
# M_tot: 0.00 μB/f.u.
# Density: 3.4 g/cm3
# Uncorrected formation energy: -0.822 eV/atom
# Density of states at the Fermi level: 0.546 states/eV/atom

=====

Record 5
# BSb3F (meta-GGA SCAN, PBEsol geometry)
data_BSb3F
_space_group_name_H-M_alt 'P m -3 m'
_space_group_IT_number 221
_space_group_name_Hall '-P 4 2 3'
_cell_length_a 4.796
_cell_length_b 4.796
_cell_length_c 4.796
_cell_angle_alpha 90.00
_cell_angle_beta 90.00
_cell_angle_gamma 90.00
loop_
_atom_site_label
_atom_site_type_symbol
_atom_site_fract_x
_atom_site_fract_y
_atom_site_fract_z
B1 B 0.000 0.000 0.000
Sb1 Sb 0.000 0.500 0.500
F1 F 0.500 0.500 0.500
# Calculated total energy: -23.671 eV per atom
# M_tot: 0.00 μB/f.u.
# Density: 5.9 g/cm3
# Uncorrected formation energy: 0.879 eV/atom
# Density of states at the Fermi level: 0.532 states/eV/atom

=====

Record 6
# Sc2BF (meta-GGA SCAN, PBEsol geometry)
data_Sc2BF
_space_group_name_H-M_alt 'I -4 2 d'
_space_group_IT_number 122
_space_group_name_Hall 'I -4 2bw'
_cell_length_a 4.825
_cell_length_b 4.825
_cell_length_c 11.234
_cell_angle_alpha 90.00
_cell_angle_beta 90.00
_cell_angle_gamma 90.00
loop_
_atom_site_label
_atom_site_type_symbol
_atom_site_fract_x
_atom_site_fract_y
_atom_site_fract_z
Sc1 Sc 0.246 0.250 0.125
B1 B 0.000 0.000 0.500
F1 F 0.000 0.000 0.000
# Calculated total energy: -11.124 eV per atom
# M_tot: 0.00 μB/f.u.
# Density: 3.0 g/cm3
# Uncorrected formation energy: -1.263 eV/atom
# Density of states at the Fermi level: 0.170 states/eV/atom

=====

Look up the M_tot of the fifth one.
0.00 μB/f.u.

=====

Which value of calculated total energy does entry 2 give?
-7.608 eV per atom